Compound: CdAsW2
Source: Alexandria
Functional: PBE
Structure: optimized geometry

POSCAR file:
```
CdAsW2
1.0
-3.2747 0.8870 3.0703
-1.4519 -2.4516 -0.8403
1.8814 -3.9970 3.1613
As W Cd
1 2 1
direct
0.0000 0.3324 0.4637
0.0000 0.0386 0.0519
0.5000 0.4333 0.2523
0.5000 0.6957 0.7322
```

Summary:
The calculation puts the density at 13.0 g/cm3. The value obtained for the formation enthalpy at 0 K is 51.7 kJ per mole of atoms. As for the total energy: -29.3 eV/cell. The energy above the most stable polymorph in this dataset is 19.32 kJ per mole of atoms.

---

Compound: K4LaTa
Source: Alexandria
Functional: PBE
Structure: optimized geometry

POSCAR file:
```
K4LaTa
1.0
0.0000 5.0470 5.0470
5.0470 0.0000 5.0470
5.0470 5.0470 0.0000
La K Ta
1 4 1
direct
0.7500 0.7500 0.7500
0.3728 0.3728 0.3728
0.8817 0.3728 0.3728
0.3728 0.8817 0.3728
0.3728 0.3728 0.8817
0.0000 0.0000 0.0000
```

Summary:
The calculation puts the density at 3.1 g/cm3. The value obtained for the formation enthalpy at 0 K is 119.6 kJ per mole of atoms. As for the total energy: -13.7 eV/cell.

---

Compound: ZnReAg
Source: Alexandria
Functional: PBE
Structure: optimized geometry

POSCAR file:
```
ZnReAg
1.0
6.6854 -0.0029 0.0000
5.6068 3.6413 0.0000
-6.1461 -1.8192 1.9002
Re Zn Ag
1 1 1
direct
0.3267 0.3267 0.0000
0.6699 0.6699 0.0000
0.0034 0.0034 0.0000
```

Summary:
The calculation puts the density at 12.9 g/cm3. The value obtained for the formation enthalpy at 0 K is 34.1 kJ per mole of atoms. As for the total energy: -15.5 eV/cell. The energy above the most stable polymorph in this dataset is 28.41 kJ per mole of atoms.

---

Compound: ZrBeCo
Source: Alexandria
Functional: PBE
Structure: optimized geometry

POSCAR file:
```
ZrBeCo
1.0
3.9610 0.0000 0.0000
0.0000 6.4468 0.0000
0.0000 0.0000 6.3714
Zr Co Be
4 4 4
direct
0.2500 0.6918 0.9811
0.7500 0.1918 0.5189
0.2500 0.8082 0.4811
0.7500 0.3082 0.0189
0.7500 0.9372 0.8436
0.7500 0.5628 0.3436
0.2500 0.4372 0.6564
0.2500 0.0628 0.1564
0.2500 0.3968 0.3056
0.2500 0.1032 0.8056
0.7500 0.8968 0.1944
0.7500 0.6032 0.6944
```

Summary:
The calculation puts the density at 6.5 g/cm3. The value obtained for the formation enthalpy at 0 K is -31.8 kJ per mole of atoms. As for the total energy: -81.5 eV/cell. The energy above the most stable polymorph in this dataset is 0.24 kJ per mole of atoms.

---

Compound: Zr2VS2
Source: Alexandria
Functional: PBE
Structure: optimized geometry

POSCAR file:
```
Zr2VS2
1.0
7.4053 0.0000 0.0000
0.0000 7.4053 0.0000
0.0000 0.0000 3.2079
S Zr V
4 4 2
direct
0.8578 0.3578 0.5000
0.1422 0.6422 0.5000
0.3578 0.1422 0.5000
0.6422 0.8578 0.5000
0.6556 0.1556 0.0000
0.1556 0.3444 0.0000
0.8444 0.6556 0.0000
0.3444 0.8444 0.0000
0.5000 0.5000 0.0000
0.0000 0.0000 0.0000
```

Summary:
The calculation puts the density at 5.6 g/cm3. As for the total energy: -73.1 eV/cell. The energy above the most stable polymorph in this dataset is 51.33 kJ per mole of atoms. The value obtained for the energy relative to the elements, uncorrected is -0.412 eV per atom.

---

Compound: Sm15Y2Mg2
Source: Alexandria
Functional: PBE
Structure: optimized geometry

POSCAR file:
```
Sm15Y2Mg2
1.0
-2.9820 -7.9750 -1.9330
0.5468 -3.7108 7.8842
-8.2889 0.8738 2.5999
Sm Mg Y
15 2 2
direct
0.3659 0.3659 0.8461
0.7029 0.0000 0.2971
0.0000 0.5000 0.0000
0.5000 0.0000 0.0000
0.0000 0.0000 0.5000
0.2971 0.0000 0.7029
0.2971 0.7029 0.0000
0.3659 0.8461 0.3659
0.0000 0.2971 0.7029
0.6341 0.1539 0.6341
0.0000 0.7029 0.2971
0.1539 0.6341 0.6341
0.7029 0.2971 0.0000
0.6341 0.6341 0.1539
0.8461 0.3659 0.3659
0.0930 0.0930 0.0930
0.9070 0.9070 0.9070
0.3198 0.3198 0.3198
0.6802 0.6802 0.6802
```

Summary:
The calculation puts the density at 6.4 g/cm3. The value obtained for the formation enthalpy at 0 K is 21.0 kJ per mole of atoms. As for the total energy: -82.8 eV/cell.

---

Compound: HfTh2Se2Br4
Source: Alexandria
Functional: PBE
Structure: optimized geometry

POSCAR file:
```
HfTh2Se2Br4
1.0
-0.0906 -3.4451 -1.5033
1.3590 0.5020 3.4696
-21.5457 -3.3256 8.9206
Se Br Hf Th
2 4 1 2
direct
0.6667 0.3333 0.2560
0.6667 0.3333 0.3969
0.0000 0.0000 0.7326
0.0000 0.0000 0.5524
0.6667 0.3333 0.9000
0.6667 0.3333 0.0804
0.0000 0.0000 0.3263
0.0000 0.0000 0.9905
0.6667 0.3333 0.6421
```

Summary:
The calculation puts the density at 6.4 g/cm3. As for the total energy: -50.5 eV/cell. The value obtained for the energy relative to the elements, uncorrected is -1.338 eV per atom.

---

Compound: Li2InPb
Source: Alexandria
Functional: PBE
Structure: optimized geometry

POSCAR file:
```
Li2InPb
1.0
5.0934 0.0000 0.0000
2.5467 4.4111 0.0000
2.5467 1.4704 4.1588
Pb Li In
1 2 1
direct
0.0000 0.0000 0.0000
0.5000 0.5000 0.5000
0.7500 0.7500 0.7500
0.2500 0.2500 0.2500
```

Summary:
The calculation puts the density at 6.0 g/cm3. The value obtained for the formation enthalpy at 0 K is -15.9 kJ per mole of atoms. As for the total energy: -10.9 eV/cell. The energy above the most stable polymorph in this dataset is 10.85 kJ per mole of atoms.

---

Compound: PrTlTe2Au
Source: Alexandria
Functional: PBE
Structure: optimized geometry

POSCAR file:
```
PrTlTe2Au
1.0
4.9614 0.0000 0.0000
0.0000 8.6594 0.5807
0.0000 -1.9846 8.1200
Tl Au Te Pr
2 2 4 2
direct
0.8139 0.5000 0.2500
0.1861 0.5000 0.7500
0.0000 0.0000 0.5000
0.0000 0.0000 0.0000
0.3007 0.2617 0.0482
0.3007 0.7383 0.4518
0.6993 0.2617 0.5482
0.6993 0.7383 0.9518
0.5005 0.0000 0.2500
0.4995 0.0000 0.7500
```

Summary:
The calculation puts the density at 7.5 g/cm3. As for the total energy: -39.8 eV/cell. The value obtained for the energy relative to the elements, uncorrected is -0.640 eV per atom.

---

Compound: Zn2HF
Source: Alexandria
Functional: PBE
Structure: optimized geometry

POSCAR file:
```
Zn2HF
1.0
4.2463 0.0000 0.0000
0.0000 4.2463 0.0000
2.1232 2.1232 5.8388
F Zn H
2 4 2
direct
0.0000 0.0000 0.0000
0.7500 0.2500 0.5000
0.2034 0.6250 0.2500
0.5466 0.1250 0.2500
0.3750 0.4534 0.7500
0.8750 0.7966 0.7500
0.5000 0.5000 0.0000
0.2500 0.7500 0.5000
```

Summary:
The calculation puts the density at 4.8 g/cm3. As for the total energy: -19.1 eV/cell. The energy above the most stable polymorph in this dataset is 0.00 kJ per mole of atoms.

---

Compound: GaHg2B
Source: Alexandria
Functional: PBE
Structure: optimized geometry

POSCAR file:
```
GaHg2B
1.0
5.5645 0.0000 0.0000
0.0000 5.5645 0.0000
2.7823 2.7823 6.2672
Hg Ga B
4 2 2
direct
0.8750 0.7602 0.7500
0.5102 0.1250 0.2500
0.2398 0.6250 0.2500
0.3750 0.4898 0.7500
0.0000 0.0000 0.0000
0.7500 0.2500 0.5000
0.2500 0.7500 0.5000
0.5000 0.5000 0.0000
```

Summary:
The calculation puts the density at 8.2 g/cm3. The value obtained for the formation enthalpy at 0 K is 70.1 kJ per mole of atoms. As for the total energy: -14.8 eV/cell. The energy above the most stable polymorph in this dataset is 0.00 kJ per mole of atoms.

---

Compound: TmBe4Rh
Source: Alexandria
Functional: PBE
Structure: optimized geometry

POSCAR file:
```
TmBe4Rh
1.0
4.6322 0.0000 0.0000
2.3161 4.0116 0.0000
2.3161 1.3372 3.7821
Be Rh Tm
4 1 1
direct
0.6280 0.1159 0.6280
0.6280 0.6280 0.6280
0.1159 0.6280 0.6280
0.6280 0.6280 0.1159
0.0000 0.0000 0.0000
0.2500 0.2500 0.2500
```

Summary:
The calculation puts the density at 7.3 g/cm3. The value obtained for the formation enthalpy at 0 K is -39.9 kJ per mole of atoms. As for the total energy: -29.2 eV/cell.

---

Compound: SnGeAu2
Source: Alexandria
Functional: PBE
Structure: optimized geometry

POSCAR file:
```
SnGeAu2
1.0
3.3284 0.0000 0.0000
0.0000 3.3284 0.0000
0.0000 0.0000 7.4193
Au Ge Sn
2 1 1
direct
0.0000 0.0000 0.7747
0.0000 0.0000 0.2253
0.5000 0.5000 0.0000
0.5000 0.5000 0.5000
```

Summary:
The calculation puts the density at 11.8 g/cm3. The value obtained for the formation enthalpy at 0 K is 4.7 kJ per mole of atoms. As for the total energy: -15.0 eV/cell. The energy above the most stable polymorph in this dataset is 8.25 kJ per mole of atoms.

---

Compound: BaBrO6
Source: Alexandria
Functional: PBE
Structure: optimized geometry

POSCAR file:
```
BaBrO6
1.0
-4.3198 2.3118 0.8573
-1.4822 -4.6204 1.0933
2.1945 1.0460 4.3394
O Ba Br
6 1 1
direct
0.2481 0.2481 0.5762
0.2481 0.5762 0.2481
0.7519 0.4238 0.7519
0.7519 0.7519 0.4238
0.4238 0.7519 0.7519
0.5762 0.2481 0.2481
0.0000 0.0000 0.0000
0.5000 0.5000 0.5000
```

Summary:
The calculation puts the density at 4.4 g/cm3. As for the total energy: -34.6 eV/cell. The value obtained for the energy relative to the elements, uncorrected is -0.156 eV per atom.

---

Compound: BeNb2CoAg
Source: Alexandria
Functional: PBE
Structure: optimized geometry

POSCAR file:
```
BeNb2CoAg
1.0
4.8740 0.0000 0.0000
0.0000 4.5163 0.0000
0.0000 0.0000 4.8740
Be Nb Ag Co
1 2 1 1
direct
0.5000 0.5000 0.5000
0.5000 0.0000 0.0000
0.0000 0.0000 0.5000
0.0000 0.0000 0.0000
0.0000 0.5000 0.0000
```

Summary:
The calculation puts the density at 5.6 g/cm3. The value obtained for the formation enthalpy at 0 K is 201.7 kJ per mole of atoms. As for the total energy: -23.4 eV/cell.

---

Compound: HfCd2Ag
Source: Alexandria
Functional: PBE
Structure: optimized geometry

POSCAR file:
```
HfCd2Ag
1.0
3.0958 0.0000 0.0000
1.5479 2.6811 0.0000
1.5479 0.8937 9.9793
Cd Ag Hf
2 1 1
direct
0.7467 0.7467 0.7598
0.2533 0.2533 0.2402
0.0000 0.0000 0.0000
0.5000 0.5000 0.5000
```

Summary:
The calculation puts the density at 10.2 g/cm3. The value obtained for the formation enthalpy at 0 K is 3.0 kJ per mole of atoms. As for the total energy: -14.5 eV/cell. The energy above the most stable polymorph in this dataset is 5.26 kJ per mole of atoms.

---

Compound: ReRh
Source: Alexandria
Functional: PBE
Structure: optimized geometry

POSCAR file:
```
ReRh
1.0
2.7463 0.0000 0.0000
0.0000 4.7730 0.0000
0.0000 0.0000 13.2921
Re Rh
6 6
direct
0.0000 0.9231 0.8370
0.5000 0.7475 0.0000
0.0000 0.2525 0.5000
0.0000 0.9231 0.1630
0.5000 0.0769 0.3370
0.5000 0.0769 0.6630
0.5000 0.7442 0.5000
0.0000 0.2558 0.0000
0.5000 0.4168 0.8333
0.0000 0.5832 0.6667
0.0000 0.5832 0.3333
0.5000 0.4168 0.1667
```

Summary:
The calculation puts the density at 16.5 g/cm3. The value obtained for the formation enthalpy at 0 K is -5.8 kJ per mole of atoms. As for the total energy: -119.5 eV/cell. The energy above the most stable polymorph in this dataset is 11.27 kJ per mole of atoms.

---

Compound: Ca2POs
Source: Alexandria
Functional: PBE
Structure: optimized geometry

POSCAR file:
```
Ca2POs
1.0
5.6845 0.0026 0.0139
2.2723 5.2106 -0.0139
-3.5496 -3.2611 3.0132
P Ca Os
1 2 1
direct
0.6963 0.1963 0.5000
0.2647 0.7647 0.5000
0.9651 0.9651 0.0000
0.5739 0.5739 0.0000
```

Summary:
The calculation puts the density at 5.6 g/cm3. The value obtained for the formation enthalpy at 0 K is -27.2 kJ per mole of atoms. As for the total energy: -21.8 eV/cell.

---

Compound: Ta2AlNi2
Source: Alexandria
Functional: PBE
Structure: optimized geometry

POSCAR file:
```
Ta2AlNi2
1.0
-1.8774 -1.5381 6.2139
3.4978 -5.6699 -0.3467
2.6642 1.5706 1.1937
Ni Ta Al
4 4 2
direct
0.8729 0.6271 0.0000
0.3729 0.8729 0.0000
0.6271 0.1271 0.0000
0.1271 0.3729 0.0000
0.1736 0.6736 0.5000
0.8264 0.3264 0.5000
0.3264 0.1736 0.5000
0.6736 0.8264 0.5000
0.5000 0.5000 0.0000
0.0000 0.0000 0.0000
```

Summary:
The calculation puts the density at 11.4 g/cm3. The value obtained for the formation enthalpy at 0 K is -28.2 kJ per mole of atoms. As for the total energy: -80.9 eV/cell.

---

Compound: RbAlSn
Source: Alexandria
Functional: PBE
Structure: optimized geometry

POSCAR file:
```
RbAlSn
1.0
13.4961 0.0000 0.0008
7.4340 1.7770 -4.4168
-7.4340 1.7770 4.4168
Rb Sn Al
2 2 2
direct
0.1678 0.7698 0.2302
0.8322 0.2302 0.7698
0.3597 0.9585 0.0415
0.6403 0.0415 0.9585
0.6738 0.6486 0.3514
0.3262 0.3514 0.6486
```

Summary:
The calculation puts the density at 3.6 g/cm3. The value obtained for the formation enthalpy at 0 K is 2.1 kJ per mole of atoms. As for the total energy: -17.3 eV/cell.

---

Compound: La11In9Au4
Source: Alexandria
Functional: PBE
Structure: optimized geometry

POSCAR file:
```
La11In9Au4
1.0
-2.7186 2.3024 1.6548
-8.3791 -2.0994 -10.8446
-1.7952 -9.3579 10.0711
In La Au
9 11 4
direct
0.5000 0.2162 0.0729
0.5000 0.7838 0.9271
0.5000 0.5000 0.5000
0.5000 0.1608 0.6339
0.5000 0.8392 0.3661
0.5000 0.3661 0.8392
0.5000 0.6339 0.1608
0.5000 0.9271 0.7838
0.5000 0.0729 0.2162
0.0000 0.0624 0.4128
0.0000 0.0000 0.0000
0.0000 0.4128 0.0624
0.0000 0.3697 0.6303
0.0000 0.8384 0.1616
0.0000 0.3040 0.3040
0.0000 0.6960 0.6960
0.0000 0.6303 0.3697
0.0000 0.5872 0.9376
0.0000 0.9376 0.5872
0.0000 0.1616 0.8384
0.5000 0.4482 0.2468
0.5000 0.5518 0.7532
0.5000 0.2468 0.4482
0.5000 0.7532 0.5518
```

Summary:
The calculation puts the density at 8.0 g/cm3. The value obtained for the formation enthalpy at 0 K is -62.5 kJ per mole of atoms. As for the total energy: -107.5 eV/cell.

---

Compound: CaErTmSc
Source: Alexandria
Functional: PBE
Structure: optimized geometry

POSCAR file:
```
CaErTmSc
1.0
5.5716 0.0000 0.0000
2.7858 4.8252 0.0000
2.7858 1.6084 4.5492
Er Sc Tm Ca
1 1 1 1
direct
0.2500 0.2500 0.2500
0.0000 0.0000 0.0000
0.7500 0.7500 0.7500
0.5000 0.5000 0.5000
```

Summary:
The calculation puts the density at 5.7 g/cm3. The value obtained for the formation enthalpy at 0 K is 19.0 kJ per mole of atoms. As for the total energy: -16.6 eV/cell.

---

Compound: Tb2Zr2Sc7
Source: Alexandria
Functional: PBE
Structure: optimized geometry

POSCAR file:
```
Tb2Zr2Sc7
1.0
9.0163 0.2017 0.2910
-0.4974 5.9526 -0.4505
-0.4974 -2.5122 5.4153
Tb Sc Zr
2 7 2
direct
0.5000 0.6818 0.3182
0.5000 0.3182 0.6818
0.0000 0.0000 0.0000
0.6509 0.9215 0.9215
0.1668 0.0245 0.4841
0.8332 0.5159 0.9755
0.3491 0.0785 0.0785
0.1668 0.4841 0.0245
0.8332 0.9755 0.5159
0.1819 0.5871 0.5871
0.8181 0.4129 0.4129
```

Summary:
The calculation puts the density at 4.8 g/cm3. The value obtained for the formation enthalpy at 0 K is 15.8 kJ per mole of atoms. As for the total energy: -68.9 eV/cell.

---

Compound: Ce2ThBr6
Source: Alexandria
Functional: PBE
Structure: optimized geometry

POSCAR file:
```
Ce2ThBr6
1.0
-3.6801 0.9970 0.4098
-3.5484 -6.5824 2.0909
-0.4597 0.9794 11.4306
Th Br Ce
1 6 2
direct
0.0000 0.0000 0.0000
0.7812 0.3041 0.1334
0.9918 0.7737 0.2428
0.2188 0.6959 0.8666
0.6570 0.2242 0.4618
0.3430 0.7758 0.5382
0.0082 0.2263 0.7572
0.6813 0.9396 0.6978
0.3187 0.0604 0.3022
```

Summary:
The calculation puts the density at 5.1 g/cm3. As for the total energy: -42.7 eV/cell. The value obtained for the energy relative to the elements, uncorrected is -1.491 eV per atom.